[1]
A plane-wave DFT calculation with GGA-PBE was carried out for a geometry-optimized AcTh3Al8 structure.

a b c (Å): 5.7558 5.7558 28.1113
angles (deg): 90.00 90.00 120.00
Space group R3m (No. 160, hexagonal axes)
Inequivalent atoms, fractional coordinates:
1 Ac 0.0000 0.0000 0.0000
2 Th 0.0000 0.0000 0.1255
3 Th 0.0000 0.0000 0.5000
4 Th 0.0000 0.0000 0.6254
5 Al 0.0000 0.0000 0.3122
6 Al 0.0000 0.0000 0.8130
7 Al 0.0008 0.5004 0.0648
8 Al 0.1677 0.3354 0.8942

Properties
VASP energy: -182.6 eV per cell

---

[2]
A plane-wave DFT calculation with GGA-PBE was carried out for a geometry-optimized Sr3YPa2As6 structure.

a b c (Å): 7.3613 12.7471 7.5381
angles (deg): 90.00 108.98 90.00
Space group C2/m (No. 12)
Inequivalent atoms, fractional coordinates:
1 Sr 0.0000 0.0000 0.0000
2 Sr 0.0000 0.3353 0.0000
3 Y 0.0000 0.5000 0.5000
4 Pa 0.0000 0.1670 0.5000
5 As 0.2315 0.0000 0.7186
6 As 0.2436 0.3293 0.7186

Properties
VASP energy: -146.7 eV per cell

---

Energy of formation from the pure elements in eV/atom, matching the order above: -0.380; -1.244